Record 1
{"formula": "Pm3ScGa2", "functional": "PBE-GGA", "state": "relaxed", "spacegroup": "No. 71", "m_tot_mub_per_fu": 0.000, "crystal_system": "orthorhombic", "energy_ev_per_atom": -4.819, "cell": [[-2.238, 2.276, 7.976], [2.238, -2.276, 7.976], [2.238, 2.276, -7.976]], "species": ["Pm", "Pm", "Pm", "Sc", "Ga", "Ga"], "fractional_positions": [[0.000, 0.000, 0.000], [0.179, 0.679, 0.500], [0.821, 0.321, 0.500], [0.500, 0.500, 0.000], [0.370, 0.870, 0.500], [0.630, 0.130, 0.500]]}

Record 2
{"formula": "PmScGa", "functional": "PBE-GGA", "state": "relaxed", "spacegroup": "No. 129", "m_tot_mub_per_fu": 1.064, "crystal_system": "tetragonal", "relative_energy_kj_per_mol_atoms": 0.0, "energy_ev_per_atom": -5.144, "cell": [[4.429, 0.000, 0.000], [0.000, 4.429, 0.000], [0.000, 0.000, 7.725]], "species": ["Pm", "Pm", "Sc", "Sc", "Ga", "Ga"], "fractional_positions": [[0.250, 0.250, 0.146], [0.750, 0.750, 0.854], [0.250, 0.750, 0.500], [0.750, 0.250, 0.500], [0.250, 0.250, 0.743], [0.750, 0.750, 0.257]]}

Record 3
{"formula": "PmSc2Ga9", "functional": "PBE-GGA", "state": "relaxed", "spacegroup": "No. 123", "m_tot_mub_per_fu": 0.000, "crystal_system": "tetragonal", "energy_ev_per_atom": -4.227, "cell": [[4.202, 0.000, 0.000], [0.000, 4.202, 0.000], [0.000, 0.000, 12.588]], "species": ["Pm", "Sc", "Sc", "Ga", "Ga", "Ga", "Ga", "Ga", "Ga", "Ga", "Ga", "Ga"], "fractional_positions": [[0.000, 0.000, 0.000], [0.000, 0.000, 0.340], [0.000, 0.000, 0.660], [0.000, 0.500, 0.178], [0.000, 0.500, 0.500], [0.000, 0.500, 0.822], [0.500, 0.000, 0.178], [0.500, 0.000, 0.500], [0.500, 0.000, 0.822], [0.500, 0.500, 0.000], [0.500, 0.500, 0.336], [0.500, 0.500, 0.664]]}

Record 4
{"formula": "PmSc3Ga2", "functional": "PBE-GGA", "state": "relaxed", "spacegroup": "No. 26", "m_tot_mub_per_fu": 0.000, "crystal_system": "orthorhombic", "relative_energy_kj_per_mol_atoms": 0.0, "energy_ev_per_atom": -5.405, "cell": [[4.654, 0.000, 0.000], [0.000, 9.187, 0.000], [0.000, 0.000, 6.329]], "species": ["Pm", "Pm", "Sc", "Sc", "Sc", "Sc", "Sc", "Sc", "Ga", "Ga", "Ga", "Ga"], "fractional_positions": [[0.000, 0.049, 0.000], [0.000, 0.951, 0.500], [0.000, 0.322, 0.613], [0.000, 0.678, 0.113], [0.500, 0.204, 0.283], [0.500, 0.450, 0.904], [0.500, 0.550, 0.404], [0.500, 0.796, 0.783], [0.000, 0.374, 0.163], [0.000, 0.626, 0.663], [0.500, 0.145, 0.727], [0.500, 0.855, 0.227]]}

Record 5
{"formula": "Pm3ScGa4", "functional": "PBE-GGA", "state": "relaxed", "spacegroup": "No. 123", "m_tot_mub_per_fu": 0.000, "crystal_system": "tetragonal", "energy_ev_per_atom": -4.662, "cell": [[3.573, 0.000, 0.000], [0.000, 3.573, 0.000], [0.000, 0.000, 14.534]], "species": ["Pm", "Pm", "Pm", "Sc", "Ga", "Ga", "Ga", "Ga"], "fractional_positions": [[0.000, 0.000, 0.000], [0.000, 0.000, 0.262], [0.000, 0.000, 0.738], [0.000, 0.000, 0.500], [0.500, 0.500, 0.132], [0.500, 0.500, 0.397], [0.500, 0.500, 0.603], [0.500, 0.500, 0.868]]}

Record 6
{"formula": "Pm3ScGa8", "functional": "PBE-GGA", "state": "relaxed", "spacegroup": "No. 160", "m_tot_mub_per_fu": 0.000, "crystal_system": "trigonal", "energy_ev_per_atom": -4.279, "cell": [[2.758, 1.592, 9.143], [-2.758, 1.592, 9.143], [0.000, -3.185, 9.143]], "species": ["Pm", "Pm", "Pm", "Sc", "Ga", "Ga", "Ga", "Ga", "Ga", "Ga", "Ga", "Ga"], "fractional_positions": [[0.000, 0.000, 0.000], [0.125, 0.125, 0.125], [0.623, 0.623, 0.623], [0.501, 0.501, 0.501], [0.061, 0.061, 0.560], [0.061, 0.560, 0.061], [0.065, 0.563, 0.563], [0.312, 0.312, 0.312], [0.560, 0.061, 0.061], [0.563, 0.065, 0.563], [0.563, 0.563, 0.065], [0.813, 0.813, 0.813]]}

Record 7
{"formula": "Pm2ScGa6", "functional": "PBE-GGA", "state": "relaxed", "spacegroup": "No. 164", "m_tot_mub_per_fu": 0.000, "crystal_system": "trigonal", "relative_energy_kj_per_mol_atoms": 0.0, "energy_ev_per_atom": -4.356, "cell": [[6.179, 0.000, 0.000], [-3.089, 5.351, 0.000], [0.000, 0.000, 5.687]], "species": ["Pm", "Pm", "Sc", "Ga", "Ga", "Ga", "Ga", "Ga", "Ga"], "fractional_positions": [[0.333, 0.667, 0.153], [0.667, 0.333, 0.847], [0.000, 0.000, 0.000], [0.186, 0.372, 0.659], [0.186, 0.814, 0.659], [0.372, 0.186, 0.341], [0.628, 0.814, 0.659], [0.814, 0.186, 0.341], [0.814, 0.628, 0.341]]}

Record 8
{"formula": "Pm2ScGa6", "functional": "PBE-GGA", "state": "relaxed", "spacegroup": "No. 71", "m_tot_mub_per_fu": 0.000, "crystal_system": "orthorhombic", "relative_energy_kj_per_mol_atoms": 18.5, "energy_ev_per_atom": -4.164, "cell": [[-2.154, 3.464, 6.825], [2.154, -3.464, 6.825], [2.154, 3.464, -6.825]], "species": ["Pm", "Pm", "Sc", "Ga", "Ga", "Ga", "Ga", "Ga", "Ga"], "fractional_positions": [[0.126, 0.126, 0.000], [0.874, 0.874, 0.000], [0.500, 0.000, 0.500], [0.130, 0.319, 0.812], [0.208, 0.500, 0.708], [0.493, 0.681, 0.812], [0.507, 0.319, 0.188], [0.792, 0.500, 0.292], [0.870, 0.681, 0.188]]}

Record 9
{"formula": "Pm3Sc4Ga4", "functional": "PBE-GGA", "state": "relaxed", "spacegroup": "No. 71", "m_tot_mub_per_fu": 0.000, "crystal_system": "orthorhombic", "energy_ev_per_atom": -5.152, "cell": [[-2.331, 3.657, 7.761], [2.331, -3.657, 7.761], [2.331, 3.657, -7.761]], "species": ["Pm", "Pm", "Pm", "Sc", "Sc", "Sc", "Sc", "Ga", "Ga", "Ga", "Ga"], "fractional_positions": [[0.000, 0.000, 0.000], [0.387, 0.887, 0.500], [0.613, 0.113, 0.500], [0.034, 0.326, 0.707], [0.381, 0.674, 0.707], [0.619, 0.326, 0.293], [0.966, 0.674, 0.293], [0.206, 0.206, 0.000], [0.313, 0.500, 0.813], [0.687, 0.500, 0.187], [0.794, 0.794, 0.000]]}

Record 10
{"formula": "PmSc3Ga2", "functional": "PBE-GGA", "state": "relaxed", "spacegroup": "No. 12", "m_tot_mub_per_fu": 0.000, "crystal_system": "monoclinic", "relative_energy_kj_per_mol_atoms": 4.8, "energy_ev_per_atom": -5.355, "cell": [[8.426, -2.230, 0.000], [8.426, 2.230, 0.000], [-4.638, 0.000, 7.529]], "species": ["Pm", "Pm", "Sc", "Sc", "Sc", "Sc", "Sc", "Sc", "Ga", "Ga", "Ga", "Ga"], "fractional_positions": [[0.128, 0.128, 0.128], [0.872, 0.872, 0.872], [0.000, 0.000, 0.332], [0.000, 0.000, 0.668], [0.330, 0.330, 0.522], [0.331, 0.331, 0.139], [0.669, 0.669, 0.861], [0.670, 0.670, 0.478], [0.201, 0.201, 0.701], [0.500, 0.500, 0.145], [0.500, 0.500, 0.855], [0.799, 0.799, 0.299]]}

Record 11
{"formula": "PmScGa", "functional": "PBE-GGA", "state": "relaxed", "spacegroup": "No. 216", "m_tot_mub_per_fu": 0.010, "crystal_system": "cubic", "relative_energy_kj_per_mol_atoms": 20.8, "energy_ev_per_atom": -4.928, "cell": [[0.000, 3.454, 3.454], [3.454, 0.000, 3.454], [3.454, 3.454, 0.000]], "species": ["Pm", "Sc", "Ga"], "fractional_positions": [[0.000, 0.000, 0.000], [0.500, 0.500, 0.500], [0.750, 0.750, 0.750]]}

Record 12
{"formula": "Pm4ScGa4", "functional": "PBE-GGA", "state": "relaxed", "spacegroup": "No. 86", "m_tot_mub_per_fu": 0.000, "crystal_system": "tetragonal", "energy_ev_per_atom": -4.506, "cell": [[8.719, 0.000, 0.000], [0.000, 8.719, 0.000], [0.000, 0.000, 5.877]], "species": ["Pm", "Pm", "Pm", "Pm", "Pm", "Pm", "Pm", "Pm", "Sc", "Sc", "Ga", "Ga", "Ga", "Ga", "Ga", "Ga", "Ga", "Ga"], "fractional_positions": [[0.073, 0.826, 0.122], [0.174, 0.573, 0.622], [0.326, 0.927, 0.622], [0.427, 0.674, 0.122], [0.573, 0.326, 0.878], [0.674, 0.073, 0.378], [0.826, 0.427, 0.378], [0.927, 0.174, 0.878], [0.250, 0.250, 0.750], [0.750, 0.750, 0.250], [0.063, 0.165, 0.369], [0.165, 0.437, 0.131], [0.335, 0.063, 0.131], [0.437, 0.335, 0.369], [0.563, 0.665, 0.631], [0.665, 0.937, 0.869], [0.835, 0.563, 0.869], [0.937, 0.835, 0.631]]}

Record 13
{"formula": "PmScGa6", "functional": "PBE-GGA", "state": "relaxed", "spacegroup": "No. 123", "m_tot_mub_per_fu": 0.000, "crystal_system": "tetragonal", "relative_energy_kj_per_mol_atoms": 0.0, "energy_ev_per_atom": -4.167, "cell": [[4.247, 0.000, 0.000], [0.000, 4.247, 0.000], [0.000, 0.000, 8.451]], "species": ["Pm", "Sc", "Ga", "Ga", "Ga", "Ga", "Ga", "Ga"], "fractional_positions": [[0.000, 0.000, 0.000], [0.000, 0.000, 0.500], [0.000, 0.500, 0.263], [0.000, 0.500, 0.737], [0.500, 0.000, 0.263], [0.500, 0.000, 0.737], [0.500, 0.500, 0.000], [0.500, 0.500, 0.500]]}

Record 14
{"formula": "PmScGa", "functional": "PBE-GGA", "state": "relaxed", "spacegroup": "No. 189", "m_tot_mub_per_fu": 0.737, "crystal_system": "hexagonal", "relative_energy_kj_per_mol_atoms": 0.2, "energy_ev_per_atom": -5.142, "cell": [[7.710, 0.000, 0.000], [-3.855, 6.677, 0.000], [0.000, 0.000, 4.365]], "species": ["Pm", "Pm", "Pm", "Sc", "Sc", "Sc", "Ga", "Ga", "Ga"], "fractional_positions": [[0.000, 0.597, 0.000], [0.403, 0.403, 0.000], [0.597, 0.000, 0.000], [0.000, 0.257, 0.500], [0.257, 0.000, 0.500], [0.743, 0.743, 0.500], [0.000, 0.000, 0.000], [0.333, 0.667, 0.500], [0.667, 0.333, 0.500]]}

Record 15
{"formula": "PmSc2Ga6", "functional": "PBE-GGA", "state": "relaxed", "spacegroup": "No. 191", "m_tot_mub_per_fu": 0.000, "crystal_system": "hexagonal", "relative_energy_kj_per_mol_atoms": 0.0, "energy_ev_per_atom": -4.501, "cell": [[7.448, 0.000, 0.000], [-3.724, 6.450, 0.000], [0.000, 0.000, 3.647]], "species": ["Pm", "Sc", "Sc", "Ga", "Ga", "Ga", "Ga", "Ga", "Ga"], "fractional_positions": [[0.000, 0.000, 0.000], [0.333, 0.667, 0.000], [0.667, 0.333, 0.000], [0.000, 0.337, 0.500], [0.000, 0.663, 0.500], [0.337, 0.000, 0.500], [0.337, 0.337, 0.500], [0.663, 0.000, 0.500], [0.663, 0.663, 0.500]]}

Record 16
{"formula": "PmSc2Ga", "functional": "PBE-GGA", "state": "relaxed", "spacegroup": "No. 225", "m_tot_mub_per_fu": 2.286, "crystal_system": "cubic", "relative_energy_kj_per_mol_atoms": 20.3, "energy_ev_per_atom": -5.189, "cell": [[0.000, 3.599, 3.599], [3.599, 0.000, 3.599], [3.599, 3.599, 0.000]], "species": ["Pm", "Sc", "Sc", "Ga"], "fractional_positions": [[0.000, 0.000, 0.000], [0.250, 0.250, 0.250], [0.750, 0.750, 0.750], [0.500, 0.500, 0.500]]}

Record 17
{"formula": "Pm8ScGa6", "functional": "PBE-GGA", "state": "relaxed", "spacegroup": "No. 148", "m_tot_mub_per_fu": 0.000, "crystal_system": "trigonal", "energy_ev_per_atom": -4.522, "cell": [[4.364, 2.520, 6.277], [-4.364, 2.520, 6.277], [0.000, -5.039, 6.277]], "species": ["Pm", "Pm", "Pm", "Pm", "Pm", "Pm", "Pm", "Pm", "Sc", "Ga", "Ga", "Ga", "Ga", "Ga", "Ga"], "fractional_positions": [[0.055, 0.387, 0.719], [0.165, 0.165, 0.165], [0.281, 0.945, 0.613], [0.387, 0.719, 0.055], [0.613, 0.281, 0.945], [0.719, 0.055, 0.387], [0.835, 0.835, 0.835], [0.945, 0.613, 0.281], [0.500, 0.500, 0.500], [0.125, 0.765, 0.446], [0.235, 0.554, 0.875], [0.446, 0.125, 0.765], [0.554, 0.875, 0.235], [0.765, 0.446, 0.125], [0.875, 0.235, 0.554]]}

Record 18
{"formula": "PmSc2Ga3", "functional": "PBE-GGA", "state": "relaxed", "spacegroup": "No. 123", "m_tot_mub_per_fu": 0.000, "crystal_system": "tetragonal", "energy_ev_per_atom": -4.998, "cell": [[3.452, 0.000, 0.000], [0.000, 3.452, 0.000], [0.000, 0.000, 10.452]], "species": ["Pm", "Sc", "Sc", "Ga", "Ga", "Ga"], "fractional_positions": [[0.000, 0.000, 0.000], [0.000, 0.000, 0.345], [0.000, 0.000, 0.655], [0.500, 0.500, 0.193], [0.500, 0.500, 0.500], [0.500, 0.500, 0.807]]}

Record 19
{"formula": "PmSc2Ga", "functional": "PBE-GGA", "state": "relaxed", "spacegroup": "No. 123", "m_tot_mub_per_fu": 0.626, "crystal_system": "tetragonal", "relative_energy_kj_per_mol_atoms": 3.3, "energy_ev_per_atom": -5.365, "cell": [[4.555, 0.000, 0.000], [0.000, 4.555, 0.000], [0.000, 0.000, 4.547]], "species": ["Pm", "Sc", "Sc", "Ga"], "fractional_positions": [[0.000, 0.000, 0.000], [0.000, 0.500, 0.500], [0.500, 0.000, 0.500], [0.500, 0.500, 0.000]]}

Record 20
{"formula": "PmSc2Ga", "functional": "PBE-GGA", "state": "relaxed", "spacegroup": "No. 63", "m_tot_mub_per_fu": 0.000, "crystal_system": "orthorhombic", "relative_energy_kj_per_mol_atoms": 0.9, "energy_ev_per_atom": -5.390, "cell": [[2.178, -5.779, 0.000], [2.178, 5.779, 0.000], [0.000, 0.000, 8.019]], "species": ["Pm", "Pm", "Sc", "Sc", "Sc", "Sc", "Ga", "Ga"], "fractional_positions": [[0.059, 0.941, 0.750], [0.941, 0.059, 0.250], [0.356, 0.644, 0.554], [0.356, 0.644, 0.946], [0.644, 0.356, 0.054], [0.644, 0.356, 0.446], [0.229, 0.771, 0.250], [0.771, 0.229, 0.750]]}

Record 21
{"formula": "PmScGa", "functional": "PBE-GGA", "state": "relaxed", "spacegroup": "No. 156", "m_tot_mub_per_fu": 0.000, "crystal_system": "trigonal", "relative_energy_kj_per_mol_atoms": 11.0, "energy_ev_per_atom": -5.030, "cell": [[4.855, 0.000, 0.000], [-2.428, 4.205, 0.000], [0.000, 0.000, 3.694]], "species": ["Pm", "Sc", "Ga"], "fractional_positions": [[0.000, 0.000, 0.000], [0.667, 0.333, 0.494], [0.333, 0.667, 0.518]]}

Record 22
{"formula": "PmScGa", "functional": "PBE-GGA", "state": "relaxed", "spacegroup": "No. 107", "m_tot_mub_per_fu": 0.000, "crystal_system": "tetragonal", "relative_energy_kj_per_mol_atoms": 9.1, "energy_ev_per_atom": -5.050, "cell": [[-1.698, 1.698, 6.387], [1.698, -1.698, 6.387], [1.698, 1.698, -6.387]], "species": ["Pm", "Sc", "Ga"], "fractional_positions": [[0.000, 0.000, 0.000], [0.294, 0.294, 0.000], [0.664, 0.664, 0.000]]}

Record 23
{"formula": "PmSc2Ga2", "functional": "PBE-GGA", "state": "relaxed", "spacegroup": "No. 139", "m_tot_mub_per_fu": 0.002, "crystal_system": "tetragonal", "relative_energy_kj_per_mol_atoms": 0.0, "energy_ev_per_atom": -5.185, "cell": [[-2.174, 2.174, 6.162], [2.174, -2.174, 6.162], [2.174, 2.174, -6.162]], "species": ["Pm", "Sc", "Sc", "Ga", "Ga"], "fractional_positions": [[0.000, 0.000, 0.000], [0.250, 0.750, 0.500], [0.750, 0.250, 0.500], [0.399, 0.399, 0.000], [0.601, 0.601, 0.000]]}

Record 24
{"formula": "PmSc5Ga4", "functional": "PBE-GGA", "state": "relaxed", "spacegroup": "No. 123", "m_tot_mub_per_fu": 0.000, "crystal_system": "tetragonal", "energy_ev_per_atom": -5.319, "cell": [[3.339, 0.000, 0.000], [0.000, 3.339, 0.000], [0.000, 0.000, 18.787]], "species": ["Pm", "Sc", "Sc", "Sc", "Sc", "Sc", "Ga", "Ga", "Ga", "Ga"], "fractional_positions": [[0.000, 0.000, 0.000], [0.500, 0.500, 0.137], [0.500, 0.500, 0.318], [0.500, 0.500, 0.500], [0.500, 0.500, 0.682], [0.500, 0.500, 0.863], [0.000, 0.000, 0.226], [0.000, 0.000, 0.409], [0.000, 0.000, 0.591], [0.000, 0.000, 0.774]]}

| no. | energy of formation (eV per atom) |
| --- | --- |
| 1 | -0.380 |
| 2 | -0.441 |
| 3 | -0.505 |
| 4 | -0.439 |
| 5 | -0.576 |
| 6 | -0.546 |
| 7 | -0.579 |
| 8 | -0.387 |
| 9 | -0.454 |
| 10 | -0.388 |
| 11 | -0.225 |
| 12 | -0.346 |
| 13 | -0.512 |
| 14 | -0.438 |
| 15 | -0.548 |
| 16 | -0.079 |
| 17 | -0.355 |
| 18 | -0.583 |
| 19 | -0.255 |
| 20 | -0.280 |
| 21 | -0.327 |
| 22 | -0.347 |
| 23 | -0.492 |
| 24 | -0.468 |